No. 1
Below is a geometry-optimized CaThNi2 structure, with properties calculated at the GGA-PBE level.

**Crystal system**: tetragonal
**Calculated total energy**: -5.498 eV/atom
**Size of the total moment**: 0.00 μB/atom
**Excess energy over the best structure of this formula in the dataset**: 0.00 eV per formula unit
**Calculated formation energy**: -0.252 eV per atom

abc: 3.5202 3.5202 7.0154
angles: 90.00 90.00 90.00
With the nearest neighbours (Å) after each atom.
Space group P4/mmm (No. 123)
One atom of each set of equivalent atoms:
Ca (0.0000, 0.0000, 0.0000) x1  8 Ni 3.26, 2 Th 3.51, 4 Ca 3.52
Th (0.0000, 0.0000, 0.5000) x1  8 Ni 2.86
Ni (0.5000, 0.5000, 0.3000) x2  1 Ni 2.81, 4 Th 2.86

No. 2
Below is a geometry-optimized Cs2HoPuS4 structure, with properties calculated at the GGA-PBE level.

**Crystal system**: monoclinic
**Calculated total energy**: -6.313 eV/atom
**Size of the total moment**: 0.63 μB/atom
**Uncorrected formation energy**: -1.6727 eV/atom

abc: 7.1765 4.1338 8.3848
angles: 90.00 106.53 90.00
With the nearest neighbours (Å) after each atom.
Space group P2/m (No. 10)
One atom of each set of equivalent atoms:
Cs (0.0000, 0.0000, 0.0000) x1  6 S 3.48-3.51
Cs (0.5000, 0.5000, 0.0000) x1  6 S 3.52-3.53
Ho (0.0000, 0.5000, 0.5000) x1  6 S 2.77-2.78
Pu (0.5000, 0.0000, 0.5000) x1  6 S 2.80-2.83
S (0.2222, 0.0000, 0.6812) x2  2 Ho 2.78, 1 Pu 2.83
S (0.2705, 0.5000, 0.3206) x2  1 Ho 2.77, 2 Pu 2.80

No. 3
Below is a geometry-optimized NbFeCo2N structure, with properties calculated at the GGA-PBE level.

**Crystal system**: tetragonal
**Calculated total energy**: -8.214 eV/atom
**Size of the total moment**: 0.54 μB/atom
**Uncorrected formation energy**: -0.0001 eV/atom

abc: 3.8237 3.8237 3.8403
angles: 90.00 90.00 90.00
With the nearest neighbours (Å) after each atom.
Space group P4/mmm (No. 123)
One atom of each set of equivalent atoms:
Nb (0.0000, 0.0000, 0.0000) x1  4 Fe 2.70, 8 Co 2.71
Fe (0.5000, 0.5000, 0.0000) x1  2 N 1.92
Co (0.0000, 0.5000, 0.5000) x2  2 N 1.91
N (0.5000, 0.5000, 0.5000) x1  4 Co 1.91, 2 Fe 1.92

No. 4
Below is a geometry-optimized CoReAs2 structure, with properties calculated at the GGA-PBE level.

**Crystal system**: monoclinic
**Calculated total energy**: -6.947 eV/atom
**Size of the total moment**: 0.11 μB/atom
**Excess energy over the best structure of this formula in the dataset**: 0.75 eV per formula unit
**Calculated formation energy**: 0.266 eV per atom

abc: 7.8406 3.0373 4.9468
angles: 90.00 98.82 90.00
With the nearest neighbours (Å) after each atom.
Space group C2/m (No. 12)
One atom of each set of equivalent atoms:
Co (0.0000, 0.0000, 0.0000) x2  6 As 2.41-2.69
Re (0.0000, 0.5000, 0.5000) x2  6 As 2.54-2.58
As (0.2401, 0.0000, 0.7496) x4  3 Co 2.41-2.69, 3 Re 2.54-2.58

No. 5
Below is a geometry-optimized Rb2LiTaI6 structure, with properties calculated at the GGA-PBE level.

**Crystal system**: cubic
**Calculated total energy**: -3.373 eV/atom
**Size of the total moment**: 0.20 μB/atom
**Uncorrected formation energy**: -0.8729 eV/atom

abc: 11.6723 11.6723 11.6723
angles: 90.00 90.00 90.00
With the nearest neighbours (Å) after each atom.
Space group Fm-3m (No. 225)
One atom of each set of equivalent atoms:
Rb (0.2500, 0.2500, 0.2500) x8  12 I 4.13
Li (0.0000, 0.0000, 0.0000) x4  6 I 2.99
Ta (0.0000, 0.0000, 0.5000) x4  6 I 2.84
I (0.0000, 0.0000, 0.2563) x24  1 Ta 2.84, 1 Li 2.99

No. 6
Below is a geometry-optimized LaBi2Rh structure, with properties calculated at the GGA-PBE level.

**Crystal system**: tetragonal
**Calculated total energy**: -5.642 eV/atom
**Size of the total moment**: 0.00 μB/atom
**Calculated formation energy**: -0.632 eV per atom

abc: 4.6857 4.6857 19.7694
angles: 90.00 90.00 90.00
With the nearest neighbours (Å) after each atom.
Space group I4/mmm (No. 139)
One atom of each set of equivalent atoms:
La (0.0000, 0.0000, 0.1322) x4  4 Rh 3.30, 8 Bi 3.42-3.51
Bi (0.0000, 0.0000, 0.3259) x4  4 Rh 2.78
Bi (0.0000, 0.5000, 0.0000) x4  4 Bi 3.31, 4 La 3.51
Rh (0.0000, 0.5000, 0.2500) x4  4 Bi 2.78

No. 7
Below is a geometry-optimized YGa4Cu2Os structure, with properties calculated at the GGA-PBE level.

**Crystal system**: trigonal
**Calculated total energy**: -4.947 eV/atom
**Size of the total moment**: 0.00 μB/atom
**Calculated formation energy**: -0.198 eV per atom

abc: 4.1777 4.1777 26.7677
angles: 90.00 90.00 120.00
With the nearest neighbours (Å) after each atom.
Space group R-3m (No. 166, hexagonal axes)
One atom of each set of equivalent atoms:
Y (0.0000, 0.0000, 0.0000) x3  6 Ga 3.01
Ga (0.0000, 0.0000, 0.1306) x6  4 Cu 2.56-2.79, 3 Os 2.60
Ga (0.0000, 0.0000, 0.4005) x6  3 Cu 2.55, 1 Os 2.66
Cu (0.0000, 0.0000, 0.2348) x6  7 Ga 2.55-2.79
Os (0.0000, 0.0000, 0.5000) x3  8 Ga 2.60-2.66

No. 8
Below is a geometry-optimized CuMoAu2 structure, with properties calculated at the GGA-PBE level.

**Crystal system**: monoclinic
**Calculated total energy**: -5.127 eV/atom
**Size of the total moment**: 0.00 μB/atom
**Excess energy over the best structure of this formula in the dataset**: 0.46 eV per formula unit
**Calculated formation energy**: 0.243 eV per atom

abc: 2.7399 4.0413 5.8080
angles: 90.00 90.15 90.00
With the nearest neighbours (Å) after each atom.
Space group P2/m (No. 10)
One atom of each set of equivalent atoms:
Cu (0.0000, 0.0000, 0.0000) x1  2 Cu 2.74, 8 Au 2.83-2.84, 2 Mo 2.90
Mo (0.0000, 0.0000, 0.5000) x1  2 Mo 2.74, 8 Au 2.85, 2 Cu 2.90
Au (0.4990, 0.5000, 0.2479) x2  4 Au 2.74-2.93, 4 Cu 2.83-2.84, 4 Mo 2.85

| no. | D(E_F) (states/eV/f.u.) |
| --- | --- |
| 1 | 3.7 |
| 2 | 11.0 |
| 3 | 6.1 |
| 4 | 3.7 |
| 5 | 7.3 |
| 6 | 4.0 |
| 7 | 3.4 |
| 8 | 2.4 |